No. 1
VASP calculation (PBE) on a geometry-optimized Tb2PrHoTm5 structure.

Lattice parameters (Å, degrees): 8.8470 8.8470 9.6351 117.33 117.33 90.00
Positions (direct):
Tb1 0.1133 0.3867 0.0000
Tb2 0.6133 0.1133 0.0000
Tb3 0.3867 0.8867 0.0000
Tb4 0.8867 0.6133 0.0000
Pr1 0.2500 0.2500 0.5000
Pr2 0.7500 0.7500 0.5000
Ho1 0.2500 0.7500 0.5000
Ho2 0.7500 0.2500 0.5000
Tm1 0.9265 0.4265 0.2652
Tm2 0.6613 0.1613 0.7348
Tm3 0.0735 0.5735 0.7348
Tm4 0.1613 0.0735 0.7348
Tm5 0.5735 0.6613 0.7348
Tm6 0.8387 0.9265 0.2652
Tm7 0.4265 0.3387 0.2652
Tm8 0.3387 0.8387 0.2652
Tm9 0.5000 0.5000 0.0000
Tm10 0.0000 0.0000 0.0000

M_tot ... 0.0000 μB per atom
Volume ... 573.6 Å³ per cell
E_form ... 282.8 meV per atom
Energy ... -76.86 eV for the cell shown

=====

No. 2
VASP calculation (PBE) on a geometry-optimized TbPr2Ho2Tm2 structure.

Lattice parameters (Å, degrees): 3.5131 6.1130 11.8320 71.68 90.00 106.70
Positions (direct):
Tb1 0.0000 0.0000 0.5000
Pr1 0.6709 0.3419 0.9149
Pr2 0.3291 0.6581 0.0851
Ho1 0.4507 0.9014 0.7678
Ho2 0.5493 0.0986 0.2322
Tm1 0.7735 0.5470 0.3657
Tm2 0.2265 0.4530 0.6343

M_tot ... 0.0000 μB per atom
Volume ... 229.9 Å³ per cell
E_form ... 85.9 meV per atom
Energy ... -31.69 eV for the cell shown

=====

No. 3
VASP calculation (PBE) on a geometry-optimized TbPrHo6Tm2 structure.

Lattice parameters (Å, degrees): 9.4117 8.7493 8.7493 117.06 93.05 93.05
Positions (direct):
Tb1 0.2500 0.4104 0.5896
Tb2 0.7500 0.5896 0.4104
Pr1 0.2500 0.9693 0.0307
Pr2 0.7500 0.0307 0.9693
Ho1 0.0573 0.1202 0.7548
Ho2 0.4427 0.2452 0.8798
Ho3 0.9427 0.8798 0.2452
Ho4 0.5573 0.7548 0.1202
Ho5 0.3191 0.9850 0.4396
Ho6 0.1809 0.5604 0.0150
Ho7 0.6809 0.0150 0.5604
Ho8 0.8191 0.4396 0.9850
Ho9 0.1156 0.7081 0.4848
Ho10 0.3844 0.5152 0.2919
Ho11 0.8844 0.2919 0.5152
Ho12 0.6156 0.4848 0.7081
Tm1 0.4505 0.7999 0.6952
Tm2 0.0495 0.3048 0.2001
Tm3 0.5495 0.2001 0.3048
Tm4 0.9505 0.6952 0.7999

M_tot ... 0.0001 μB per atom
Volume ... 638.2 Å³ per cell
E_form ... 122.5 meV per atom
Energy ... -89.19 eV for the cell shown